# 1
DFT (GGA-PBE) results for a relaxed structure of ScTcPt.

Properties
DOS(E_F)   4.6 states/eV per cell
Size of the total moment   0.534 μB per atom
ΔE to the lowest computed polymorph   550 meV/atom
Energy relative to the elements   -0.030 eV/atom

Lattice parameters (Å, degrees): 4.3924 4.3924 4.3924 60.00 60.00 60.00
Site moments in Bohr magnetons follow the coordinates.
Fractional coordinates of all 3 atoms:
Sc 0.0000 0.0000 0.0000  0.01
Pt 0.7500 0.7500 0.7500  0.22
Tc 0.5000 0.5000 0.5000  1.25

---

# 2
DFT (GGA-PBE) results for a relaxed structure of La2Sb4Pd.

Properties
DOS(E_F)   4.4 states/eV per cell
Size of the total moment   0.000 μB per atom
Energy relative to the elements, uncorrected   -0.58 eV/atom

Lattice parameters (Å, degrees): 5.2501 5.2501 8.7474 72.54 72.54 90.00
Fractional coordinates of all 7 atoms:
La 0.6309 0.6309 0.7382
La 0.3691 0.3691 0.2618
Sb 0.8325 0.8325 0.3351
Sb 0.1675 0.1675 0.6649
Sb 0.5000 0.0000 0.0000
Sb 0.0000 0.5000 0.0000
Pd 0.0000 0.0000 0.0000

---

# 3
DFT (GGA-PBE) results for a relaxed structure of LiMg4Pd5.

Properties
DOS(E_F)   4.2 states/eV per cell
Size of the total moment   0.000 μB per atom
Energy relative to the elements   -0.677 eV/atom

Lattice parameters (Å, degrees): 3.1109 3.1109 16.1089 90.00 90.00 90.00
Fractional coordinates of all 10 atoms:
Pd 0.5000 0.5000 0.7059
Pd 0.5000 0.5000 0.2941
Pd 0.5000 0.5000 0.9086
Pd 0.5000 0.5000 0.5000
Pd 0.5000 0.5000 0.0914
Mg 0.0000 0.0000 0.1910
Mg 0.0000 0.0000 0.6029
Mg 0.0000 0.0000 0.8090
Mg 0.0000 0.0000 0.3971
Li 0.0000 0.0000 0.0000

---

# 4
DFT (GGA-PBE) results for a relaxed structure of Fe3Re.

Properties
DOS(E_F)   17.4 states/eV per cell
Size of the total moment   0.208 μB per atom
Energy relative to the elements   0.042 eV/atom

Lattice parameters (Å, degrees): 5.0856 5.0856 8.1847 90.00 90.00 60.00
Site moments in Bohr magnetons follow the coordinates.
Fractional coordinates of all 16 atoms:
Fe 0.5000 0.0000 0.5000  0.27
Fe 0.5000 0.5000 0.5000  0.27
Fe 0.8293 0.3415 0.7500  0.41
Fe 0.1707 0.6585 0.2500  0.41
Fe 0.5000 0.0000 0.0000  0.27
Fe 0.5000 0.5000 0.0000  0.27
Fe 0.8293 0.8293 0.7500  0.41
Fe 0.3415 0.8293 0.7500  0.41
Fe 0.0000 0.5000 0.5000  0.27
Fe 0.0000 0.5000 0.0000  0.27
Fe 0.6585 0.1707 0.2500  0.41
Fe 0.1707 0.1707 0.2500  0.41
Re 0.0000 0.0000 0.5000  -0.19
Re 0.6667 0.6667 0.2500  -0.17
Re 0.0000 0.0000 0.0000  -0.19
Re 0.3333 0.3333 0.7500  -0.17

---

# 5
DFT (GGA-PBE) results for a relaxed structure of Ti2Sb2P.

Properties
DOS(E_F)   10.7 states/eV per cell
Size of the total moment   0.000 μB per atom
Energy relative to the elements, uncorrected   -0.34 eV/atom

Lattice parameters (Å, degrees): 6.9694 6.9694 4.0091 90.00 90.00 90.00
Fractional coordinates of all 10 atoms:
Ti 0.8430 0.6570 0.0000
Ti 0.6570 0.1570 0.0000
Ti 0.1570 0.3430 0.0000
Ti 0.3430 0.8430 0.0000
Sb 0.1495 0.6495 0.5000
Sb 0.3505 0.1495 0.5000
Sb 0.8505 0.3505 0.5000
Sb 0.6495 0.8505 0.5000
P 0.5000 0.5000 0.0000
P 0.0000 0.0000 0.0000

---

# 6
DFT (GGA-PBE) results for a relaxed structure of Er4AlCo2.

Properties
DOS(E_F)   6.7 states/eV per cell
Size of the total moment   0.000 μB per atom
Energy relative to the elements   -0.166 eV/atom

Lattice parameters (Å, degrees): 4.7054 4.7054 8.8338 74.55 74.55 60.00
Fractional coordinates of all 7 atoms:
Co 0.0927 0.0927 0.7220
Co 0.9073 0.9073 0.2780
Er 0.6126 0.6126 0.1621
Er 0.3874 0.3874 0.8379
Er 0.7960 0.7960 0.6119
Er 0.2040 0.2040 0.3881
Al 0.0000 0.0000 0.0000

---

# 7
DFT (GGA-PBE) results for a relaxed structure of Tl2GaPbI.

Properties
DOS(E_F)   2.6 states/eV per cell
Size of the total moment   0.000 μB per atom
Energy relative to the elements, uncorrected   0.13 eV/atom

Lattice parameters (Å, degrees): 6.2757 5.5336 6.2757 90.00 90.00 90.00
Fractional coordinates of all 5 atoms:
I 0.5000 0.5000 0.5000
Tl 0.0000 0.0000 0.5000
Tl 0.5000 0.0000 0.0000
Pb 0.0000 0.0000 0.0000
Ga 0.0000 0.5000 0.0000

---

# 8
DFT (GGA-PBE) results for a relaxed structure of Cd2PbAu.

Properties
DOS(E_F)   0.8 states/eV per cell
Size of the total moment   0.000 μB per atom
Energy relative to the elements   0.014 eV/atom

Lattice parameters (Å, degrees): 9.0260 9.0260 9.0260 23.36 23.36 23.36
Fractional coordinates of all 4 atoms:
Pb 0.4918 0.4918 0.4918
Cd 0.2573 0.2573 0.2573
Cd 0.0058 0.0058 0.0058
Au 0.7452 0.7452 0.7452

---

# 9
DFT (GGA-PBE) results for a relaxed structure of AlCoPt2.

Properties
DOS(E_F)   3.2 states/eV per cell
Size of the total moment   0.470 μB per atom
Energy relative to the elements   -0.477 eV/atom

Lattice parameters (Å, degrees): 2.7905 3.7185 5.4686 90.00 90.00 90.00
Site moments in Bohr magnetons follow the coordinates.
Fractional coordinates of all 4 atoms:
Pt 0.0000 0.0000 0.9630  0.29
Pt 0.5000 0.5000 0.2772  0.03
Co 0.5000 0.5000 0.7627  1.62
Al 0.0000 0.0000 0.4970  -0.01

---

# 10
DFT (GGA-PBE) results for a relaxed structure of Sc4CdGa.

Properties
DOS(E_F)   8.6 states/eV per cell
Size of the total moment   0.098 μB per atom
Energy relative to the elements   -0.042 eV/atom

Lattice parameters (Å, degrees): 4.7075 4.7087 8.2921 73.53 73.51 60.01
Site moments in Bohr magnetons follow the coordinates.
Fractional coordinates of all 6 atoms:
Sc 0.3719 0.3719 0.8843  0.15
Sc 0.6281 0.6281 0.1157  0.15
Sc 0.8797 0.8798 0.3609  0.04
Sc 0.1203 0.1202 0.6391  0.04
Ga 0.0000 0.0000 0.0000  -0.01
Cd 0.5000 0.5000 0.5000  0.01

---

# 11
DFT (GGA-PBE) results for a relaxed structure of U3Ag3AuSe8.

Properties
DOS(E_F)   13.7 states/eV per cell
Size of the total moment   0.399 μB per atom
Energy relative to the elements, uncorrected   -0.60 eV/atom

Lattice parameters (Å, degrees): 8.5864 8.0986 7.9596 119.97 90.00 122.01
Site moments in Bohr magnetons follow the coordinates.
Fractional coordinates of all 15 atoms:
Se 0.7204 0.0025 0.2395  -0.09
Se 0.2821 0.0025 0.2395  -0.09
Se 0.2303 0.4606 0.7244  -0.06
Se 0.2426 0.4851 0.2476  -0.06
Se 0.2796 0.9975 0.7605  -0.09
Se 0.7697 0.5394 0.2756  -0.06
Se 0.7574 0.5149 0.7524  -0.06
Se 0.7179 0.9975 0.7605  -0.09
Ag 0.0000 0.0000 0.0000  -0.02
Ag 0.5000 0.5000 0.0000  -0.02
Ag 0.0000 0.5000 0.0000  -0.02
U 0.5000 0.0000 0.5000  2.08
U 0.0000 0.5000 0.5000  2.17
U 0.5000 0.5000 0.5000  2.17
Au 0.0000 0.0000 0.5000  -0.06

---

# 12
DFT (GGA-PBE) results for a relaxed structure of CaMgCu2.

Properties
DOS(E_F)   3.2 states/eV per cell
Size of the total moment   0.000 μB per atom
Energy relative to the elements   -0.071 eV/atom

Lattice parameters (Å, degrees): 5.9168 5.9168 6.4325 90.00 90.00 135.17
Fractional coordinates of all 8 atoms:
Cu 0.3919 0.6081 0.5633
Cu 0.3919 0.6081 0.9367
Cu 0.6081 0.3919 0.0633
Cu 0.6081 0.3919 0.4367
Mg 0.2120 0.7880 0.2500
Mg 0.7880 0.2120 0.7500
Ca 0.0828 0.9172 0.7500
Ca 0.9172 0.0828 0.2500